1.
This record from OQMD via LeMat-Bulk describes a geometry-optimized LuTePO structure. The functional is PBE.

abc: 3.617 7.035 7.660
angles: 90.00 90.00 90.00
Atoms (fractional coordinates):
Lu 0.000 0.272 0.487
Lu 0.000 0.728 0.987
O 0.500 0.393 0.441
O 0.500 0.607 0.941
P 0.000 0.940 0.298
P 0.000 0.060 0.798
Te 0.500 0.147 0.028
Te 0.500 0.853 0.528

Summary:
Polymorph energy (0 for the lowest one)   0.0003 eV per atom
Total magnetic moment   0.00 μB per formula unit
Space-group type   No. 26


2.
This record from OQMD via LeMat-Bulk describes a geometry-optimized SiTcNO structure. The functional is PBE.

abc: 4.715 2.856 6.829
angles: 90.00 90.00 90.00
Atoms (fractional coordinates):
N 0.910 0.000 0.266
N 0.410 0.000 0.734
O 0.326 0.500 0.074
O 0.826 0.500 0.926
Si 0.989 0.500 0.140
Si 0.489 0.500 0.860
Tc 0.529 0.000 0.435
Tc 0.029 0.000 0.565

Summary:
Polymorph energy (0 for the lowest one)   0.0223 eV per atom
Total magnetic moment   0.01 μB per formula unit
Space-group type   No. 26


3.
This record from OQMD via LeMat-Bulk describes a geometry-optimized Zr2AgPd3 structure. The functional is PBE.

abc: 3.489 3.489 8.751
angles: 90.00 90.00 90.00
Atoms (fractional coordinates):
Ag 0.000 0.000 0.170
Pd 0.500 0.500 0.337
Pd 0.500 0.500 0.662
Pd 0.000 0.000 0.839
Zr 0.000 0.000 0.505
Zr 0.500 0.500 0.987

Summary:
Total magnetic moment   0.02 μB per formula unit
Formation energy   -0.628 eV/atom
Space-group type   No. 99


4.
This record from OQMD via LeMat-Bulk describes a geometry-optimized Li2Mg2Tl2IrAu structure. The functional is PBE.

abc: 4.666 4.666 6.660
angles: 90.00 90.00 90.00
Atoms (fractional coordinates):
Au 0.000 0.000 0.000
Ir 0.500 0.500 0.500
Li 0.500 0.500 0.000
Li 0.000 0.000 0.500
Mg 0.500 0.000 0.260
Mg 0.000 0.500 0.740
Tl 0.000 0.500 0.264
Tl 0.500 0.000 0.736

Summary:
Total magnetic moment   0.00 μB per formula unit
Space-group type   No. 115
E   -25.9 eV/cell


5.
This record from OQMD via LeMat-Bulk describes a geometry-optimized ReTe2O4 structure. The functional is PBE.

abc: 7.228 7.228 7.228
angles: 119.97 90.05 119.97
Atoms (fractional coordinates):
O 0.099 0.199 0.298
O 0.651 0.699 0.349
O 0.048 0.699 0.349
O 0.651 0.301 0.349
O 0.702 0.801 0.901
O 0.099 0.199 0.901
O 0.099 0.801 0.901
O 0.651 0.301 0.952
Re 0.000 0.000 0.000
Re 0.750 0.500 0.250
Te 0.375 0.750 0.125
Te 0.375 0.750 0.625
Te 0.875 0.250 0.625
Te 0.375 0.250 0.625

Summary:
Total magnetic moment   0.00 μB per formula unit
Space-group type   No. 141
E   -86.1 eV/cell


6.
This record from OQMD via LeMat-Bulk describes a geometry-optimized ThTlB4 structure. The functional is PBE.

abc: 5.473 5.473 5.473
angles: 145.43 119.82 71.30
Atoms (fractional coordinates):
B 0.562 0.240 0.322
B 0.082 0.760 0.322
B 0.918 0.240 0.678
B 0.438 0.760 0.678
Th 0.500 0.500 0.000
Tl 0.000 0.000 0.000

Summary:
Polymorph energy (0 for the lowest one)   0.0000 eV per atom
Total magnetic moment   0.00 μB per formula unit
Space-group type   No. 71


7.
This record from OQMD via LeMat-Bulk describes a geometry-optimized SrLuAlTe3 structure. The functional is PBE.

abc: 8.134 8.134 10.720
angles: 90.00 90.00 149.02
Atoms (fractional coordinates):
Al 0.982 0.018 0.250
Al 0.018 0.982 0.750
Lu 0.500 0.500 0.000
Lu 0.500 0.500 0.500
Sr 0.273 0.727 0.250
Sr 0.727 0.273 0.750
Te 0.863 0.137 0.048
Te 0.605 0.395 0.250
Te 0.863 0.137 0.452
Te 0.137 0.863 0.548
Te 0.395 0.605 0.750
Te 0.137 0.863 0.952

Summary:
Total magnetic moment   0.01 μB per formula unit
Space-group type   No. 63
E   -49.5 eV/cell


8.
This record from OQMD via LeMat-Bulk describes a geometry-optimized Li2Sc2InSnPt2 structure. The functional is PBE.

abc: 4.617 4.617 6.540
angles: 90.00 90.00 90.00
Atoms (fractional coordinates):
In 0.000 0.000 0.500
Li 0.000 0.500 0.250
Li 0.500 0.000 0.750
Pt 0.500 0.000 0.249
Pt 0.000 0.500 0.751
Sc 0.000 0.000 0.000
Sc 0.500 0.500 0.500
Sn 0.500 0.500 0.000

Summary:
Total magnetic moment   0.01 μB per formula unit
Space-group type   No. 115
E   -42.2 eV/cell